PrNd4Dy3: optimized geometry, PBE-GGA.

Structure (CIF):
```
data_PrNd4Dy3
_cell_length_a 10.2761
_cell_length_b 7.2652
_cell_length_c 7.2559
_cell_angle_alpha 90.00
_cell_angle_beta 90.00
_cell_angle_gamma 90.00
_symmetry_space_group_name_H-M 'P m n a'
_symmetry_Int_Tables_number 53
loop_
_symmetry_equiv_pos_as_xyz
'x,y,z'
'-x,-y,-z'
'-x+1/2,-y,z+1/2'
'x+1/2,y,-z+1/2'
'x,-y,-z'
'-x,y,z'
'-x+1/2,y,-z+1/2'
'x+1/2,-y,z+1/2'
loop_
_atom_site_label
_atom_site_type_symbol
_atom_site_fract_x
_atom_site_fract_y
_atom_site_fract_z
Pr1 Pr 0.0000 0.0000 0.0000
Nd1 Nd 0.0000 0.0000 0.5000
Nd2 Nd 0.0000 0.5000 0.0000
Nd3 Nd 0.2500 0.2522 0.2500
Dy1 Dy 0.0000 0.5000 0.5000
Dy2 Dy 0.2500 0.2524 0.7500
```

Calculated values
energy of formation from the pure elements = 15 meV/atom
density of states at the Fermi level = 11.5 states/eV/f.u.
V = 541.7 Å³ per cell